[1]
The following is a DFT calculation (PBE) of a relaxed structure of NdEr5Bi4.

Calculated formation energy: -0.542 eV per atom
Space-group type: C2/m, No. 12

Lattice parameters (Å, degrees): 10.1997 10.1997 7.7117 101.38 101.38 24.96
With the nearest neighbours (Å) after each atom.
Positions (direct):
Nd 0.0000 0.0000 0.0000  6 Bi 3.25-3.32
Er 0.0000 0.0000 0.5000  6 Bi 3.14-3.26
Er 0.3031 0.3031 0.3882  4 Bi 3.12-3.26
Er 0.3111 0.3111 0.9143  3 Bi 3.09-3.20
Er 0.6889 0.6889 0.0857  3 Bi 3.09-3.20
Er 0.6969 0.6969 0.6118  4 Bi 3.12-3.26
Bi 0.1365 0.1365 0.3280  6 Er 3.17-3.26, 1 Nd 3.32
Bi 0.4350 0.4350 0.2276  4 Er 3.09-3.14, 2 Nd 3.25
Bi 0.5650 0.5650 0.7724  4 Er 3.09-3.14, 2 Nd 3.25
Bi 0.8635 0.8635 0.6720  6 Er 3.17-3.26, 1 Nd 3.32


[2]
The following is a DFT calculation (PBE) of a relaxed structure of Rb8BiAu2O.

E_form (uncorrected): -0.3929 eV/atom
Space-group type: P2/m, No. 10

Lattice parameters (Å, degrees): 6.4821 10.8744 8.2238 90.00 101.12 90.00
With the nearest neighbours (Å) after each atom.
Positions (direct):
Rb 0.0309 0.0000 0.2564  2 Au 3.63, 2 Bi 3.67-4.02
Rb 0.1157 0.5000 0.8011  1 O 2.70
Rb 0.4501 0.2926 0.2249  1 O 2.97
Rb 0.4501 0.7074 0.2249  1 O 2.97
Rb 0.5499 0.2926 0.7751  1 O 2.97
Rb 0.5499 0.7074 0.7751  1 O 2.97
Rb 0.8843 0.5000 0.1989  1 O 2.70
Rb 0.9691 0.0000 0.7436  2 Au 3.63, 2 Bi 3.67-4.02
Bi 0.5000 0.0000 0.0000  8 Rb 3.67-4.02
Au 0.0000 0.2752 0.5000  6 Rb 3.46-3.84
Au 0.0000 0.7248 0.5000  6 Rb 3.46-3.84
O 0.5000 0.5000 0.0000  6 Rb 2.70-2.97


[3]
The following is a DFT calculation (PBE) of a relaxed structure of Pr3Si4Tc4.

E_form (uncorrected): -0.4949 eV/atom
Space-group type: I-43m, No. 217

Lattice parameters (Å, degrees): 6.5956 6.5956 6.5956 109.47 109.47 109.47
With the nearest neighbours (Å) after each atom.
Positions (direct):
Pr 0.0000 0.5000 0.5000  4 Si 3.11, 4 Tc 3.13
Pr 0.5000 0.0000 0.5000  4 Si 3.11, 4 Tc 3.13
Pr 0.5000 0.5000 0.0000  4 Si 3.11, 4 Tc 3.13
Si 0.0000 0.0000 0.3576  4 Tc 2.43-2.45
Si 0.0000 0.3576 0.0000  4 Tc 2.43-2.45
Si 0.3576 0.0000 0.0000  4 Tc 2.43-2.45
Si 0.6424 0.6424 0.6424  4 Tc 2.43-2.45
Tc 0.0000 0.0000 0.7262  4 Si 2.43-2.45
Tc 0.0000 0.7262 0.0000  4 Si 2.43-2.45
Tc 0.2738 0.2738 0.2738  4 Si 2.43-2.45
Tc 0.7262 0.0000 0.0000  4 Si 2.43-2.45


[4]
The following is a DFT calculation (PBE) of a relaxed structure of LiErPb.

Calculated formation energy: -0.195 eV per atom
Space-group type: I4mm, No. 107

Lattice parameters (Å, degrees): 6.2831 6.2831 6.2831 146.86 146.86 47.57
With the nearest neighbours (Å) after each atom.
Positions (direct):
Li 0.0000 0.0000 0.0000  4 Pb 2.90
Er 0.3114 0.3114 0.0000  5 Pb 3.33-3.59, 5 Li 3.34-3.58, 4 Er 3.58
Pb 0.6235 0.6235 0.0000  4 Li 2.90


[5]
The following is a DFT calculation (PBE) of a relaxed structure of K4Ba.

Calculated formation energy: 0.426 eV per atom
Space-group type: Pm-3m, No. 221
Excess energy over the best structure of this formula in the dataset: 0.3846 eV/atom

Lattice parameters (Å, degrees): 8.0326 8.0326 8.0326 90.00 90.00 90.00
With the nearest neighbours (Å) after each atom.
Positions (direct):
K 0.0000 0.0000 0.0000  12 K 5.68
K 0.0000 0.5000 0.5000  2 Ba 4.02
K 0.5000 0.0000 0.5000  2 Ba 4.02
K 0.5000 0.5000 0.0000  2 Ba 4.02
Ba 0.5000 0.5000 0.5000  6 K 4.02


[6]
The following is a DFT calculation (PBE) of a relaxed structure of TaTc2Pt.

Calculated formation energy: 0.343 eV per atom
Space-group type: I-42d, No. 122
Excess energy over the best structure of this formula in the dataset: 0.7018 eV/atom

Lattice parameters (Å, degrees): 9.9930 9.9930 9.9930 158.26 158.26 30.93
With the nearest neighbours (Å) after each atom.
Positions (direct):
Ta 0.0000 0.0000 0.0000  4 Pt 2.66, 4 Tc 2.79
Ta 0.7500 0.2500 0.5000  4 Pt 2.66, 4 Tc 2.79
Tc 0.1561 0.6250 0.0311  2 Tc 2.50, 2 Pt 2.71, 2 Ta 2.79
Tc 0.3750 0.4061 0.5311  2 Tc 2.50, 2 Pt 2.71, 2 Ta 2.79
Tc 0.5939 0.1250 0.9689  2 Tc 2.50, 2 Pt 2.71, 2 Ta 2.79
Tc 0.8750 0.8439 0.4689  2 Tc 2.50, 2 Pt 2.71, 2 Ta 2.79
Pt 0.2500 0.7500 0.5000  4 Ta 2.66, 4 Tc 2.71
Pt 0.5000 0.5000 0.0000  4 Ta 2.66, 4 Tc 2.71


[7]
The following is a DFT calculation (PBE) of a relaxed structure of V3RuS.

E_form (uncorrected): 1.0699 eV/atom
Space-group type: Pm-3m, No. 221
Excess energy over the best structure of this formula in the dataset: 0.8459 eV/atom

Lattice parameters (Å, degrees): 4.6183 4.6183 4.6183 90.00 90.00 90.00
With the nearest neighbours (Å) after each atom.
Positions (direct):
V 0.0000 0.0000 0.5000  2 Ru 2.31
V 0.0000 0.5000 0.0000  2 Ru 2.31
V 0.5000 0.0000 0.0000  2 Ru 2.31
Ru 0.0000 0.0000 0.0000  6 V 2.31
S 0.5000 0.5000 0.5000  12 V 3.27


[8]
The following is a DFT calculation (PBE) of a relaxed structure of Zr2TlCu.

Calculated formation energy: -0.008 eV per atom
Space-group type: C2/m, No. 12

Lattice parameters (Å, degrees): 5.1683 5.1683 3.2328 90.11 90.11 109.48
With the nearest neighbours (Å) after each atom.
Positions (direct):
Zr 0.0000 0.5000 0.0000  4 Zr 2.98-3.23, 4 Cu 3.05, 4 Tl 3.05
Zr 0.5000 0.0000 0.0000  4 Zr 2.98-3.23, 4 Cu 3.05, 4 Tl 3.05
Tl 0.0000 0.0000 0.5000  2 Cu 2.98, 8 Zr 3.05, 2 Tl 3.23
Cu 0.5000 0.5000 0.5000  2 Tl 2.98, 8 Zr 3.05, 2 Cu 3.23


[9]
The following is a DFT calculation (PBE) of a relaxed structure of Pm4Y4Ho.

Calculated formation energy: 0.018 eV per atom
Space-group type: C2/m, No. 12

Lattice parameters (Å, degrees): 8.0583 8.0583 8.0543 107.60 107.60 36.83
With the nearest neighbours (Å) after each atom.
Positions (direct):
Pm 0.1658 0.1658 0.0008  5 Y 3.59-3.61, 2 Ho 3.59, 5 Pm 3.59-3.62
Pm 0.2781 0.2781 0.6668  1 Ho 3.59, 5 Pm 3.59-3.62, 6 Y 3.60-3.62
Pm 0.7219 0.7219 0.3332  1 Ho 3.59, 5 Pm 3.59-3.62, 6 Y 3.60-3.62
Pm 0.8342 0.8342 0.9992  5 Y 3.59-3.61, 2 Ho 3.59, 5 Pm 3.59-3.62
Y 0.0551 0.0551 0.3334  5 Pm 3.59-3.61, 5 Y 3.59-3.60, 2 Ho 3.60
Y 0.3894 0.3894 0.3323  5 Y 3.59-3.60, 1 Ho 3.59, 6 Pm 3.60-3.62
Y 0.6106 0.6106 0.6677  5 Y 3.59-3.60, 1 Ho 3.59, 6 Pm 3.60-3.62
Y 0.9449 0.9449 0.6666  5 Pm 3.59-3.61, 5 Y 3.59-3.60, 2 Ho 3.60
Ho 0.5000 0.5000 0.0000  6 Pm 3.59, 6 Y 3.59-3.60


[10]
The following is a DFT calculation (PBE) of a relaxed structure of Pr8As3AuSe4.

E_form (uncorrected): -1.6076 eV/atom
Space-group type: R-3m, No. 166

Lattice parameters (Å, degrees): 8.6021 8.6021 8.6021 59.93 59.93 59.93
With the nearest neighbours (Å) after each atom.
Positions (direct):
Pr 0.2429 0.7521 0.7521  2 As 3.01, 3 Se 3.02-3.07, 1 Au 3.07
Pr 0.2463 0.2463 0.2463  3 As 3.00, 3 Se 3.08
Pr 0.2479 0.2479 0.7571  2 As 3.01, 3 Se 3.02-3.07, 1 Au 3.07
Pr 0.2479 0.7571 0.2479  2 As 3.01, 3 Se 3.02-3.07, 1 Au 3.07
Pr 0.7521 0.2429 0.7521  2 As 3.01, 3 Se 3.02-3.07, 1 Au 3.07
Pr 0.7521 0.7521 0.2429  2 As 3.01, 3 Se 3.02-3.07, 1 Au 3.07
Pr 0.7537 0.7537 0.7537  3 As 3.00, 3 Se 3.08
Pr 0.7571 0.2479 0.2479  2 As 3.01, 3 Se 3.02-3.07, 1 Au 3.07
As 0.0000 0.0000 0.5000  6 Pr 3.00-3.01
As 0.0000 0.5000 0.0000  6 Pr 3.00-3.01
As 0.5000 0.0000 0.0000  6 Pr 3.00-3.01
Au 0.5000 0.5000 0.5000  6 Pr 3.07
Se 0.0000 0.0000 0.0000  6 Pr 3.02
Se 0.0000 0.5000 0.5000  6 Pr 3.07-3.08
Se 0.5000 0.0000 0.5000  6 Pr 3.07-3.08
Se 0.5000 0.5000 0.0000  6 Pr 3.07-3.08


[11]
The following is a DFT calculation (PBE) of a relaxed structure of ReBIrBr2.

E_form (uncorrected): 1.6075 eV/atom
Space-group type: P4/mmm, No. 123

Lattice parameters (Å, degrees): 5.3245 5.3245 3.9846 90.00 90.00 90.00
With the nearest neighbours (Å) after each atom.
Positions (direct):
Re 0.0000 0.0000 0.0000  8 Br 3.33
B 0.5000 0.5000 0.0000  2 Ir 1.99
Ir 0.5000 0.5000 0.5000  2 B 1.99
Br 0.0000 0.5000 0.5000  2 Ir 2.66
Br 0.5000 0.0000 0.5000  2 Ir 2.66


[12]
The following is a DFT calculation (PBE) of a relaxed structure of ScZnGeIr.

Calculated formation energy: -0.521 eV per atom
Space-group type: F-43m, No. 216

Lattice parameters (Å, degrees): 4.4606 4.4606 4.4606 60.00 60.00 60.00
With the nearest neighbours (Å) after each atom.
Positions (direct):
Sc 0.0000 0.0000 0.0000  4 Ge 2.73, 4 Zn 2.73
Zn 0.2500 0.2500 0.2500  4 Ir 2.73, 4 Sc 2.73
Ge 0.7500 0.7500 0.7500  4 Ir 2.73, 4 Sc 2.73
Ir 0.5000 0.5000 0.5000  4 Zn 2.73, 4 Ge 2.73


[13]
The following is a DFT calculation (PBE) of a relaxed structure of BaMgGe.

Calculated formation energy: -0.538 eV per atom
Space-group type: P4/nmm, No. 129

Lattice parameters (Å, degrees): 4.6990 4.6990 7.9584 90.00 90.00 90.00
With the nearest neighbours (Å) after each atom.
Positions (direct):
Ba 0.2500 0.2500 0.1632  5 Ge 3.48-3.63, 4 Mg 3.56
Ba 0.7500 0.7500 0.8368  5 Ge 3.48-3.63, 4 Mg 3.56
Mg 0.2500 0.7500 0.5000  4 Ge 2.87
Mg 0.7500 0.2500 0.5000  4 Ge 2.87
Ge 0.2500 0.2500 0.7068  4 Mg 2.87
Ge 0.7500 0.7500 0.2932  4 Mg 2.87


[14]
The following is a DFT calculation (PBE) of a relaxed structure of AgSn4.

Calculated formation energy: 0.029 eV per atom
Space-group type: P4/nbm, No. 125

Lattice parameters (Å, degrees): 6.5417 6.5417 6.1642 90.00 90.00 90.00
With the nearest neighbours (Å) after each atom.
Positions (direct):
Ag 0.2500 0.2500 0.0000  8 Sn 2.95
Ag 0.7500 0.7500 0.0000  8 Sn 2.95
Sn 0.0741 0.5741 0.2752  2 Ag 2.95, 2 Sn 3.09-3.25
Sn 0.0741 0.9259 0.7248  2 Ag 2.95, 2 Sn 3.09-3.25
Sn 0.4259 0.5741 0.7248  2 Ag 2.95, 2 Sn 3.09-3.25
Sn 0.4259 0.9259 0.2752  2 Ag 2.95, 2 Sn 3.09-3.25
Sn 0.5741 0.0741 0.7248  2 Ag 2.95, 2 Sn 3.09-3.25
Sn 0.5741 0.4259 0.2752  2 Ag 2.95, 2 Sn 3.09-3.25
Sn 0.9259 0.0741 0.2752  2 Ag 2.95, 2 Sn 3.09-3.25
Sn 0.9259 0.4259 0.7248  2 Ag 2.95, 2 Sn 3.09-3.25


[15]
The following is a DFT calculation (PBE) of a relaxed structure of DyMn6Ge6.

Calculated formation energy: -0.314 eV per atom
Space-group type: P6/mmm, No. 191

Lattice parameters (Å, degrees): 5.1679 5.1679 8.1626 90.00 90.00 120.00
With the nearest neighbours (Å) after each atom.
Positions (direct):
Dy 0.0000 0.0000 0.0000  8 Ge 2.81-2.98
Mn 0.0000 0.5000 0.2508  6 Ge 2.52-2.69, 4 Mn 2.58
Mn 0.0000 0.5000 0.7492  6 Ge 2.52-2.69, 4 Mn 2.58
Mn 0.5000 0.0000 0.2508  6 Ge 2.52-2.69, 4 Mn 2.58
Mn 0.5000 0.0000 0.7492  6 Ge 2.52-2.69, 4 Mn 2.58
Mn 0.5000 0.5000 0.2508  6 Ge 2.52-2.69, 4 Mn 2.58
Mn 0.5000 0.5000 0.7492  6 Ge 2.52-2.69, 4 Mn 2.58
Ge 0.0000 0.0000 0.3444  1 Ge 2.54, 6 Mn 2.69, 1 Dy 2.81
Ge 0.0000 0.0000 0.6556  1 Ge 2.54, 6 Mn 2.69, 1 Dy 2.81
Ge 0.3333 0.6667 0.0000  6 Mn 2.53
Ge 0.3333 0.6667 0.5000  6 Mn 2.52
Ge 0.6667 0.3333 0.0000  6 Mn 2.53
Ge 0.6667 0.3333 0.5000  6 Mn 2.52


[16]
The following is a DFT calculation (PBE) of a relaxed structure of VSnIr2.

Calculated formation energy: 0.458 eV per atom
Space-group type: I-42d, No. 122

Lattice parameters (Å, degrees): 6.9188 6.9188 6.9188 130.95 130.95 71.90
With the nearest neighbours (Å) after each atom.
Positions (direct):
V 0.0000 0.0000 0.0000  4 Ir 2.35
V 0.7500 0.2500 0.5000  4 Ir 2.35
Sn 0.2500 0.7500 0.5000  4 Ir 2.60
Sn 0.5000 0.5000 0.0000  4 Ir 2.60
Ir 0.0868 0.6250 0.9618  2 V 2.35, 2 Sn 2.60
Ir 0.3750 0.3368 0.4618  2 V 2.35, 2 Sn 2.60
Ir 0.6632 0.1250 0.0382  2 V 2.35, 2 Sn 2.60
Ir 0.8750 0.9132 0.5382  2 V 2.35, 2 Sn 2.60


[17]
The following is a DFT calculation (PBE) of a relaxed structure of In2P.

Calculated formation energy: 0.157 eV per atom
Space-group type: P-62m, No. 189
Excess energy over the best structure of this formula in the dataset: 0.1916 eV/atom

Lattice parameters (Å, degrees): 7.5468 7.5468 4.4171 90.00 90.00 120.00
With the nearest neighbours (Å) after each atom.
Positions (direct):
In 0.0000 0.2643 0.0000  4 P 2.81-2.98
In 0.0000 0.5894 0.5000  5 P 3.10-3.17, 2 In 3.30
In 0.2643 0.0000 0.0000  4 P 2.81-2.98
In 0.4106 0.4106 0.5000  5 P 3.10-3.17, 2 In 3.30
In 0.5894 0.0000 0.5000  5 P 3.10-3.17, 2 In 3.30
In 0.7357 0.7357 0.0000  4 P 2.81-2.98
P 0.0000 0.0000 0.5000  9 In 2.98-3.10
P 0.3333 0.6667 0.0000  3 In 2.81
P 0.6667 0.3333 0.0000  3 In 2.81


[18]
The following is a DFT calculation (PBE) of a relaxed structure of BeSn.

Calculated formation energy: 0.307 eV per atom
Space-group type: Cmcm, No. 63
Excess energy over the best structure of this formula in the dataset: 0.0823 eV/atom

Lattice parameters (Å, degrees): 4.4992 4.4992 4.0797 90.00 90.00 113.95
With the nearest neighbours (Å) after each atom.
Positions (direct):
Be 0.0636 0.9364 0.7500  2 Be 2.25
Be 0.9364 0.0636 0.2500  2 Be 2.25
Sn 0.2806 0.7194 0.2500  5 Be 2.60-2.72
Sn 0.7194 0.2806 0.7500  5 Be 2.60-2.72


[19]
The following is a DFT calculation (PBE) of a relaxed structure of Ti5NbRe4.

Calculated formation energy: -0.315 eV per atom
Space-group type: P4/mmm, No. 123

Lattice parameters (Å, degrees): 3.1196 3.1196 16.0861 90.00 90.00 90.00
With the nearest neighbours (Å) after each atom.
Positions (direct):
Ti 0.0000 0.0000 0.0000  8 Re 2.70
Ti 0.0000 0.0000 0.1933  8 Re 2.70-2.72
Ti 0.0000 0.0000 0.3833  4 Re 2.65, 4 Nb 2.90
Ti 0.0000 0.0000 0.6167  4 Re 2.65, 4 Nb 2.90
Ti 0.0000 0.0000 0.8067  8 Re 2.70-2.72
Nb 0.5000 0.5000 0.5000  8 Ti 2.90, 4 Nb 3.12
Re 0.5000 0.5000 0.0968  8 Ti 2.70
Re 0.5000 0.5000 0.2921  8 Ti 2.65-2.72
Re 0.5000 0.5000 0.7079  8 Ti 2.65-2.72
Re 0.5000 0.5000 0.9032  8 Ti 2.70


[20]
The following is a DFT calculation (PBE) of a relaxed structure of ReN.

E_form (uncorrected): 0.0866 eV/atom
Space-group type: Cmc2_1, No. 36
Excess energy over the best structure of this formula in the dataset: 0.0427 eV/atom

Lattice parameters (Å, degrees): 3.5913 3.5913 4.8144 90.00 90.00 133.24
With the nearest neighbours (Å) after each atom.
Positions (direct):
Re 0.2220 0.7780 0.5000  4 N 2.03-2.07
Re 0.7780 0.2220 0.0000  4 N 2.03-2.07
N 0.0781 0.9219 0.1237  4 Re 2.03-2.07
N 0.9219 0.0781 0.6237  4 Re 2.03-2.07